1.
Here is an optimized crystal structure of BaNiH3 from OQMD via LeMat-Bulk. Energies are from PBE.

Magnetic moment: 0.00 μB/f.u.
Energy above the lowest structure with this stoichiometry: 0 meV/atom

a b c (Å): 5.8616 4.9806 10.7206
angles (deg): 90.00 123.11 90.00
With the nearest neighbours (Å) after each atom.
Positions (direct):
Ba  0.1929  0.2500  0.1929  6 H 2.60-2.85
Ba  0.1929  0.2500  0.6929  6 H 2.60-2.85
Ba  0.8071  0.7500  0.3071  6 H 2.60-2.85
Ba  0.8071  0.7500  0.8071  6 H 2.60-2.85
Ni  0.4592  0.7500  0.4591  5 H 1.66-1.67
Ni  0.4592  0.7500  0.9591  5 H 1.66-1.67
Ni  0.5408  0.2500  0.0409  5 H 1.66-1.67
Ni  0.5408  0.2500  0.5409  5 H 1.66-1.67
H  0.2751  0.7500  0.2746  1 Ni 1.66
H  0.2751  0.7500  0.7746  1 Ni 1.66
H  0.3198  0.0010  0.4981  2 Ni 1.67
H  0.3198  0.4990  0.9981  2 Ni 1.67
H  0.3224  0.9996  0.0008  2 Ni 1.67
H  0.3224  0.5004  0.5008  2 Ni 1.67
H  0.6776  0.0004  0.9992  2 Ni 1.67
H  0.6776  0.4996  0.4992  2 Ni 1.67
H  0.6802  0.5010  0.0019  2 Ni 1.67
H  0.6802  0.9990  0.5019  2 Ni 1.67
H  0.7249  0.2500  0.2254  1 Ni 1.66
H  0.7249  0.2500  0.7254  1 Ni 1.66

=====

2.
Here is an optimized crystal structure of BaNiH3 from OQMD via LeMat-Bulk. Energies are from PBE.

Magnetic moment: 0.00 μB/f.u.
Energy above the lowest structure with this stoichiometry: 49 meV/atom

a b c (Å): 5.4349 5.4349 5.4349
angles (deg): 116.92 116.92 95.41
With the nearest neighbours (Å) after each atom.
Positions (direct):
Ba  0.2500  0.2500  0.0000  12 H 2.75-2.84
Ba  0.7500  0.7500  0.0000  12 H 2.75-2.84
Ni  0.0000  0.5000  0.5000  2 H 1.62
Ni  0.5000  0.0000  0.5000  2 H 1.62
H  0.2011  0.7011  0.9021  1 Ni 1.62
H  0.2500  0.7500  0.5000  2 Ni 1.83
H  0.2989  0.2011  0.5000  1 Ni 1.62
H  0.7011  0.7989  0.5000  1 Ni 1.62
H  0.7500  0.2500  0.5000  2 Ni 1.83
H  0.7989  0.2989  0.0979  1 Ni 1.62

=====

3.
Here is an optimized crystal structure of Ba3Ni2H12 from OQMD via LeMat-Bulk. Energies are from PBE.

Magnetic moment: 0.02 μB/f.u.
Calculated total energy: -3.681 eV/atom

a b c (Å): 5.2729 5.2729 8.4689
angles (deg): 90.00 90.00 120.00
With the nearest neighbours (Å) after each atom.
Positions (direct):
Ba  0.0000  0.0000  0.0000  12 H 2.85
Ba  0.3333  0.6667  0.6377  12 H 2.65-2.87
Ba  0.6667  0.3333  0.3623  12 H 2.65-2.87
Ni  0.3333  0.6667  0.2320  6 H 1.56-1.58
Ni  0.6667  0.3333  0.7680  6 H 1.56-1.58
H  0.0595  0.5298  0.1226  1 Ni 1.56
H  0.1893  0.3785  0.3359  1 Ni 1.58
H  0.1893  0.8107  0.3359  1 Ni 1.58
H  0.3785  0.1893  0.6641  1 Ni 1.58
H  0.4702  0.5298  0.1226  1 Ni 1.56
H  0.4702  0.9405  0.1226  1 Ni 1.56
H  0.5298  0.0595  0.8774  1 Ni 1.56
H  0.5298  0.4702  0.8774  1 Ni 1.56
H  0.6215  0.8107  0.3359  1 Ni 1.58
H  0.8107  0.1893  0.6641  1 Ni 1.58
H  0.8107  0.6215  0.6641  1 Ni 1.58
H  0.9405  0.4702  0.8774  1 Ni 1.56

=====

4.
Here is an optimized crystal structure of BaNiH3 from OQMD via LeMat-Bulk. Energies are from PBE.

Magnetic moment: 0.00 μB/f.u.
Energy above the lowest structure with this stoichiometry: 79 meV/atom

a b c (Å): 5.4277 5.4277 5.4277
angles (deg): 60.00 60.00 60.00
With the nearest neighbours (Å) after each atom.
Positions (direct):
Ba  0.2500  0.2500  0.2500  12 H 2.71
Ba  0.7500  0.7500  0.7500  12 H 2.71
Ni  0.0000  0.0000  0.0000  6 H 1.90
Ni  0.5000  0.5000  0.5000  6 H 1.93
H  0.2480  0.2480  0.7520  2 Ni 1.90-1.93
H  0.2480  0.7520  0.2480  2 Ni 1.90-1.93
H  0.2480  0.7520  0.7520  2 Ni 1.90-1.93
H  0.7520  0.2480  0.2480  2 Ni 1.90-1.93
H  0.7520  0.2480  0.7520  2 Ni 1.90-1.93
H  0.7520  0.7520  0.2480  2 Ni 1.90-1.93